## LiMgRe2 (PBE-GGA)

Data for an optimized crystal structure of LiMgRe2.

The space group is Cm (No. 8) and the conventional cell measures 8.8198, 2.6911 and 5.2361 Å, with angles of 90.00, 94.06 and 90.00 degrees. The inequivalent atoms are Li at (0.0000, 0.0000, 0.0000), Mg at (0.2421, 0.0000, 0.7799), Re at (0.2482, 0.5000, 0.2827) and Re at (0.4990, 0.0000, 0.4733).

The electronic total energy comes out at -6.849 eV per atom. The calculation puts the offset from the most stable computed form at 0.105 eV/atom. The density of states at the Fermi level is 0.5484 states/eV/atom. The total magnetic moment comes out at 0.00 μB/f.u. For the formation energy from the elements, the calculation gives 97 kJ/mol of formula units.